Material: TbTlS2
Method: DFT, PBE
State: optimized geometry

Output
Uncorrected formation energy = -1.4887 eV per atom
Electronic total energy = -0.1948 hartree per atom

abc: 7.8726 7.8726 7.8726
angles: 29.83 29.83 29.83
Closest atoms and distances in Å follow each position.
Atoms (fractional coordinates):
Tb: 0.0000 0.0000 0.0000  6 S 2.78
Tl: 0.5000 0.5000 0.5000  6 S 3.26
S: 0.2671 0.2671 0.2671  3 Tb 2.78
S: 0.7329 0.7329 0.7329  3 Tb 2.78